# 1
## HfBiPtBr2 (meta-GGA SCAN)

Data for a crystal of HfBiPtBr2 relaxed with PBEsol.

Geometry as extended XYZ:
```
5
Lattice="5.014 0.000 0.000 0.000 5.014 0.000 0.000 0.000 5.236" Properties=species:S:1:pos:R:3 pbc="T T T"
Hf 0.000 0.000 0.000
Bi 2.507 2.507 2.618
Pt 0.000 0.000 2.618
Br 0.000 2.507 0.000
Br 2.507 0.000 0.000
```

N(E_F): 3.7 states/eV/cell
SG: P4/mmm, No. 123
raw formation energy: -0.158 eV per formula unit
density: 9.36 Mg/m³


# 2
## Al2CrHg (meta-GGA SCAN)

Data for a crystal of Al2CrHg relaxed with PBEsol.

Geometry as extended XYZ:
```
4
Lattice="2.931 0.000 0.000 0.000 2.931 0.000 0.000 0.000 7.730" Properties=species:S:1:pos:R:3 pbc="T T T"
Al 0.000 0.000 0.000
Al 1.466 1.466 1.990
Cr 0.000 0.000 3.554
Hg 1.466 1.466 5.542
```

formation enthalpy at 0 K: 35 kJ/mol of formula units
N(E_F): 2.0 states/eV/cell
SG: P4mm, No. 99
density: 7.66 Mg/m³


# 3
## BiTeIO3 (meta-GGA SCAN)

Data for a crystal of BiTeIO3 relaxed with PBEsol.

Geometry as extended XYZ:
```
24
Lattice="9.128 0.000 0.000 0.000 6.998 0.000 -2.069 0.000 7.617" Properties=species:S:1:pos:R:3 pbc="T T T"
Bi 0.163 0.943 2.472
Bi -0.871 2.556 6.281
Bi 7.930 4.442 1.336
Bi 6.895 6.054 5.145
Te 1.138 4.805 3.882
Te 2.172 5.691 0.073
Te 4.886 1.306 7.544
Te 5.921 2.193 3.735
I 2.012 1.065 4.976
I 3.047 2.434 1.168
I 4.011 4.564 6.449
I 5.046 5.933 2.641
O -1.440 4.558 7.374
O -0.406 5.938 3.566
O -0.787 0.049 6.693
O 0.248 3.450 2.885
O 0.413 4.381 5.613
O 1.448 6.115 1.804
O 5.610 0.882 5.813
O 6.645 2.616 2.004
O 6.810 3.548 4.732
O 7.845 6.949 0.924
O 7.464 1.060 4.051
O 8.499 2.439 0.243
```

N(E_F): 0.0 states/eV/cell
SG: P2_1/c, No. 14
raw formation energy: -5.986 eV per formula unit
density: 6.98 Mg/m³